# 1
Here is a relaxed structure of Sr2Ga5Ge3 from Alexandria. Energies are from PBE-GGA.

Properties
The value obtained for the density of states at the Fermi level is 3.00 states/eV per cell. As for the magnetization: 0.00 μB/f.u. For the total energy, the calculation gives -3.573 eV per atom. The formation energy is -0.3378 eV/atom.

Unit cell a=4.7152 b=4.7152 c=10.1100 alpha=90.00 beta=90.00 gamma=90.00
Closest atoms and distances in Å follow each position.
Space group P-4m2 (No. 115)
Asymmetric unit:
Sr1 0.0000 0.5000 0.2465 x2  11 Ga 3.43-3.76, 7 Ge 3.48-3.76
Ga1 0.0000 0.0000 0.0000 x1  4 Ga 2.68
Ga2 0.0000 0.0000 0.5000 x1  4 Ge 2.65
Ga3 0.0000 0.5000 0.8743 x2  1 Ge 2.58, 4 Ga 2.68
Ga4 0.5000 0.5000 0.0000 x1  4 Ga 2.68
Ge1 0.0000 0.5000 0.6188 x2  3 Ga 2.58-2.65, 2 Ge 2.65
Ge2 0.5000 0.5000 0.5000 x1  4 Ge 2.65



# 2
Here is a relaxed structure of Sr2Ga5Ge3 from Alexandria. Energies are from PBE-GGA.

Properties
The value obtained for the density of states at the Fermi level is 14.63 states/eV per cell. As for the magnetization: 0.00 μB/f.u. For the total energy, the calculation gives -3.572 eV per atom. The formation energy is -0.3372 eV/atom.

Unit cell a=10.1156 b=13.2767 c=6.6992 alpha=90.00 beta=90.00 gamma=90.00
Closest atoms and distances in Å follow each position.
Space group Ibam (No. 72)
Asymmetric unit:
Sr1 0.2479 0.1253 0.0000 x8  7 Ge 3.44-3.83, 11 Ga 3.46-3.72
Ga1 0.0000 0.2524 0.2500 x8  2 Ga 2.64, 2 Ge 2.68
Ga2 0.0000 0.5000 0.2500 x4  4 Ge 2.67
Ga3 0.1198 0.1286 0.5000 x8  3 Ge 2.57-2.68, 2 Ga 2.64
Ge1 0.0000 0.0000 0.2500 x4  4 Ga 2.68
Ge2 0.1264 0.3771 0.0000 x8  5 Ga 2.57-2.68



# 3
Here is a relaxed structure of Sr5Ga2Ge from Alexandria. Energies are from PBE-GGA.

Properties
The value obtained for the density of states at the Fermi level is 26.82 states/eV per cell. As for the magnetization: 0.94 μB/f.u. For the total energy, the calculation gives -2.770 eV per atom. The formation energy is -0.3846 eV/atom.

Unit cell a=8.3138 b=8.3138 c=16.0207 alpha=90.00 beta=90.00 gamma=90.00
Closest atoms and distances in Å follow each position.
Space group I4/mcm (No. 140)
Asymmetric unit:
Sr1 0.0000 0.0000 0.0000 x4  4 Ga 3.39
Sr2 0.1794 0.3206 0.1449 x16  3 Ga 3.38-3.42, 2 Ge 3.49, 1 Sr 3.75
Ga1 0.1068 0.3932 0.5000 x8  1 Ga 2.51
Ge1 0.0000 0.0000 0.2500 x4  8 Sr 3.49



# 4
Here is a relaxed structure of Sr2Ga7Ge from Alexandria. Energies are from PBE-GGA.

Properties
The value obtained for the density of states at the Fermi level is 3.26 states/eV per cell. As for the magnetization: 0.00 μB/f.u. For the total energy, the calculation gives -3.304 eV per atom. The formation energy is -0.3872 eV/atom.

Unit cell a=4.5263 b=4.5263 c=10.7129 alpha=90.00 beta=90.00 gamma=90.00
Closest atoms and distances in Å follow each position.
Space group P-4m2 (No. 115)
Asymmetric unit:
Sr1 0.0000 0.5000 0.2478 x2  14 Ga 3.44-3.52, 2 Ge 3.52
Ga1 0.0000 0.0000 0.0000 x1  4 Ga 2.66
Ga2 0.0000 0.5000 0.6320 x2  3 Ga 2.55-2.67, 2 Ge 2.67
Ga3 0.0000 0.5000 0.8698 x2  5 Ga 2.55-2.66
Ga4 0.5000 0.5000 0.0000 x1  4 Ga 2.66
Ga5 0.5000 0.5000 0.5000 x1  4 Ga 2.67
Ge1 0.0000 0.0000 0.5000 x1  4 Ga 2.67



# 5
Here is a relaxed structure of SrGaGe from Alexandria. Energies are from PBE-GGA.

Properties
The value obtained for the density of states at the Fermi level is 1.32 states/eV per cell. As for the magnetization: 0.00 μB/f.u. For the total energy, the calculation gives -3.638 eV per atom. The formation energy is -0.5294 eV/atom.

Unit cell a=4.3299 b=4.3299 c=4.6936 alpha=90.00 beta=90.00 gamma=120.00
Closest atoms and distances in Å follow each position.
Space group P-6m2 (No. 187)
Asymmetric unit:
Sr1 0.0000 0.0000 0.0000 x1  6 Ge 3.43, 6 Ga 3.43
Ga1 0.3333 0.6667 0.5000 x1  3 Ge 2.50
Ge1 0.6667 0.3333 0.5000 x1  3 Ga 2.50



# 6
Here is a relaxed structure of Sr3Ga2Ge2 from Alexandria. Energies are from PBE-GGA.

Properties
The value obtained for the density of states at the Fermi level is 5.87 states/eV per cell. As for the magnetization: 0.00 μB/f.u. For the total energy, the calculation gives -3.440 eV per atom. The formation energy is -0.5347 eV/atom.

Unit cell a=11.7017 b=4.6015 c=8.1619 alpha=90.00 beta=115.58 gamma=90.00
Closest atoms and distances in Å follow each position.
Space group C2/m (No. 12)
Asymmetric unit:
Sr1 0.0000 0.0000 0.0000 x2  6 Ga 3.39-3.43, 4 Ge 3.57
Sr2 0.1803 0.0000 0.6301 x4  3 Ga 3.22-3.33, 5 Ge 3.22-3.41
Ga1 0.1929 0.5000 0.9322 x4  1 Ge 2.56, 2 Ga 2.65
Ge1 0.0215 0.5000 0.3463 x4  1 Ga 2.56, 1 Ge 2.76



# 7
Here is a relaxed structure of SrGa3Ge from Alexandria. Energies are from PBE-GGA.

Properties
The value obtained for the density of states at the Fermi level is 2.91 states/eV per cell. As for the magnetization: 0.00 μB/f.u. For the total energy, the calculation gives -2.040 eV per atom. The formation energy is 1.0362 eV/atom.

Unit cell a=5.6966 b=5.6966 c=5.6966 alpha=90.00 beta=90.00 gamma=90.00
Closest atoms and distances in Å follow each position.
Space group Pm-3m (No. 221)
Asymmetric unit:
Sr1 0.0000 0.0000 0.0000 x1  6 Ga 2.85
Ga1 0.0000 0.0000 0.5000 x3  2 Sr 2.85
Ge1 0.5000 0.5000 0.5000 x1  12 Ga 4.03



# 8
Here is a relaxed structure of Sr4GaGe3 from Alexandria. Energies are from PBE-GGA.

Properties
The value obtained for the density of states at the Fermi level is 2.96 states/eV per cell. As for the magnetization: 0.00 μB/f.u. For the total energy, the calculation gives -3.545 eV per atom. The formation energy is -0.5940 eV/atom.

Unit cell a=4.2875 b=4.7964 c=11.6227 alpha=90.00 beta=90.00 gamma=90.00
Closest atoms and distances in Å follow each position.
Space group Pmm2 (No. 25)
Asymmetric unit:
Sr1 0.0000 0.0000 0.0000 x1  5 Ge 3.32-3.38, 2 Ga 3.40
Sr2 0.0000 0.5000 0.4943 x1  6 Ge 3.31-3.37, 1 Ga 3.47
Sr3 0.5000 0.0000 0.7211 x1  4 Ga 3.32, 3 Ge 3.41-3.42
Sr4 0.5000 0.5000 0.2227 x1  7 Ge 3.31-3.40
Ga1 0.0000 0.5000 0.7930 x1  2 Ge 2.67
Ge1 0.0000 0.0000 0.2908 x1  2 Ge 2.67
Ge2 0.5000 0.0000 0.4276 x1  2 Ge 2.67
Ge3 0.5000 0.5000 0.9304 x1  2 Ga 2.67



# 9
Here is a relaxed structure of Sr4Ga2Ge from Alexandria. Energies are from PBE-GGA.

Properties
The value obtained for the density of states at the Fermi level is 16.29 states/eV per cell. As for the magnetization: 0.00 μB/f.u. For the total energy, the calculation gives -2.637 eV per atom. The formation energy is -0.1514 eV/atom.

Unit cell a=6.1955 b=6.1955 c=15.1003 alpha=90.00 beta=90.00 gamma=90.00
Closest atoms and distances in Å follow each position.
Space group I4/mmm (No. 139)
Asymmetric unit:
Sr1 0.0000 0.0000 0.2004 x4  1 Ge 3.03, 1 Ga 3.22
Sr2 0.0000 0.5000 0.0000 x4  2 Ge 3.10, 4 Ga 3.36
Ga1 0.0000 0.0000 0.4137 x4  1 Ga 2.61
Ge1 0.0000 0.0000 0.0000 x2  6 Sr 3.03-3.10



# 10
Here is a relaxed structure of SrGaGe3 from Alexandria. Energies are from PBE-GGA.

Properties
The value obtained for the density of states at the Fermi level is 2.60 states/eV per cell. As for the magnetization: 0.00 μB/f.u. For the total energy, the calculation gives -3.610 eV per atom. The formation energy is 0.1018 eV/atom.

Unit cell a=5.0626 b=5.0626 c=5.0626 alpha=90.00 beta=90.00 gamma=90.00
Closest atoms and distances in Å follow each position.
Space group Pm-3m (No. 221)
Asymmetric unit:
Sr1 0.0000 0.0000 0.0000 x1  12 Ge 3.58
Ga1 0.5000 0.5000 0.5000 x1  6 Ge 2.53
Ge1 0.0000 0.5000 0.5000 x3  2 Ga 2.53



# 11
Here is a relaxed structure of Sr3Ga4Ge from Alexandria. Energies are from PBE-GGA.

Properties
The value obtained for the density of states at the Fermi level is 4.70 states/eV per cell. As for the magnetization: 0.00 μB/f.u. For the total energy, the calculation gives -3.013 eV per atom. The formation energy is -0.2914 eV/atom.

Unit cell a=5.1032 b=5.3926 c=17.4076 alpha=90.00 beta=90.00 gamma=90.00
Closest atoms and distances in Å follow each position.
Space group Immm (No. 71)
Asymmetric unit:
Sr1 0.0000 0.0000 0.0000 x2  8 Ga 3.57, 4 Ge 3.71
Sr2 0.0000 0.5000 0.2047 x4  6 Ga 3.25
Ga1 0.0000 0.2642 0.3767 x8  1 Ga 2.54, 1 Ge 2.58
Ge1 0.0000 0.0000 0.5000 x2  4 Ga 2.58